(1)
Below is crystalline Na4Ca at its relaxed geometry, with properties calculated at the PBE-GGA level.

## Properties
ΔE to the lowest computed polymorph	0.430	eV per atom
calculated formation energy	0.47	eV per atom
density	766	kg/m3
density of states at the Fermi level	0.927	states/eV per atom

abc: 6.5890 6.5890 6.5890
angles: 90.00 90.00 90.00
Closest atoms and distances in Å follow each position.
Fractional coordinates of all 5 atoms:
Na: 0.0000 0.0000 0.0000  12 Na 4.66
Na: 0.0000 0.5000 0.5000  2 Ca 3.29
Na: 0.5000 0.0000 0.5000  2 Ca 3.29
Na: 0.5000 0.5000 0.0000  2 Ca 3.29
Ca: 0.5000 0.5000 0.5000  6 Na 3.29


(2)
Below is crystalline Tl2CuBrF3 at its relaxed geometry, with properties calculated at the PBE-GGA level.

## Properties
raw formation energy	-1.321	eV/atom
density	6773	kg/m3
density of states at the Fermi level	0.161	states/eV per atom

abc: 4.1625 5.1008 14.0698
angles: 90.00 90.00 90.00
Closest atoms and distances in Å follow each position.
Fractional coordinates of all 14 atoms:
Tl: 0.0000 0.0000 0.1656  1 F 2.72
Tl: 0.0000 0.0000 0.8344  1 F 2.72
Tl: 0.5000 0.5000 0.3344  1 F 2.72
Tl: 0.5000 0.5000 0.6656  1 F 2.72
Cu: 0.0000 0.0000 0.5000  4 F 1.99-2.08
Cu: 0.5000 0.5000 0.0000  4 F 1.99-2.08
Br: 0.0000 0.5000 0.5000  2 Cu 2.55
Br: 0.5000 0.0000 0.0000  2 Cu 2.55
F: 0.0000 0.0000 0.3587  1 Cu 1.99
F: 0.0000 0.0000 0.6413  1 Cu 1.99
F: 0.0000 0.5000 0.0000  2 Cu 2.08
F: 0.5000 0.0000 0.5000  2 Cu 2.08
F: 0.5000 0.5000 0.1413  1 Cu 1.99
F: 0.5000 0.5000 0.8587  1 Cu 1.99


(3)
Below is crystalline TcPBr2 at its relaxed geometry, with properties calculated at the PBE-GGA level.

## Properties
ΔE to the lowest computed polymorph	0.000	eV per atom
raw formation energy	-0.175	eV/atom
density	4891	kg/m3
density of states at the Fermi level	0.221	states/eV per atom

abc: 6.2017 3.5793 8.8379
angles: 90.00 91.65 90.00
Closest atoms and distances in Å follow each position.
Fractional coordinates of all 8 atoms:
Tc: 0.0000 0.0000 0.0000  3 P 2.39
Tc: 0.5000 0.5000 0.0000  3 P 2.39
P: 0.1611 0.5000 0.8641  1 Br 2.22, 3 Tc 2.39
P: 0.6611 0.0000 0.8641  1 Br 2.22, 3 Tc 2.39
Br: 0.1504 0.5000 0.6131  1 P 2.22
Br: 0.3415 0.0000 0.2004  3 Tc 2.72
Br: 0.6504 0.0000 0.6131  1 P 2.22
Br: 0.8415 0.5000 0.2004  3 Tc 2.72


(4)
Below is crystalline Ti2Al2Au at its relaxed geometry, with properties calculated at the PBE-GGA level.

## Properties
ΔE to the lowest computed polymorph	0.000	eV per atom
calculated formation energy	-0.40	eV per atom
density	6830	kg/m3
density of states at the Fermi level	0.424	states/eV per atom

abc: 6.4816 6.4816 4.0122
angles: 90.00 90.00 90.00
Closest atoms and distances in Å follow each position.
Fractional coordinates of all 10 atoms:
Ti: 0.1581 0.3419 0.0000  6 Al 2.74-2.78, 1 Ti 2.90
Ti: 0.3419 0.8419 0.0000  6 Al 2.74-2.78, 1 Ti 2.90
Ti: 0.6581 0.1581 0.0000  6 Al 2.74-2.78, 1 Ti 2.90
Ti: 0.8419 0.6581 0.0000  6 Al 2.74-2.78, 1 Ti 2.90
Al: 0.1384 0.6384 0.5000  2 Au 2.51, 1 Al 2.54, 6 Ti 2.74-2.78
Al: 0.3616 0.1384 0.5000  2 Au 2.51, 1 Al 2.54, 6 Ti 2.74-2.78
Al: 0.6384 0.8616 0.5000  2 Au 2.51, 1 Al 2.54, 6 Ti 2.74-2.78
Al: 0.8616 0.3616 0.5000  2 Au 2.51, 1 Al 2.54, 6 Ti 2.74-2.78
Au: 0.0000 0.0000 0.5000  4 Al 2.51
Au: 0.5000 0.5000 0.5000  4 Al 2.51